Entry 1:
{"formula": "CdNiOs", "functional": "GGA-PBE", "state": "optimized geometry", "e_above_lowest_polymorph_mev_per_atom": 458, "formation_enthalpy_0k_mev_per_atom": 776, "e_tot_ev_per_fu": -15.6, "n_ef_per_ev_atom": 0.2866, "cell": [[0.0000, 2.9382, 2.9382], [2.9382, 0.0000, 2.9382], [2.9382, 2.9382, 0.0000]], "species": ["Cd", "Ni", "Os"], "fractional_positions": [[0.0000, 0.0000, 0.0000], [0.7500, 0.7500, 0.7500], [0.5000, 0.5000, 0.5000]]}



Entry 2:
{"formula": "SiRhN2F", "functional": "GGA-PBE", "state": "optimized geometry", "e_above_lowest_polymorph_mev_per_atom": 0, "formation_energy_uncorrected_ev_per_atom": 0.04, "e_tot_ev_per_fu": -31.1, "n_ef_per_ev_atom": 0.5780, "cell": [[3.6984, 0.0000, 0.0000], [0.0000, 3.6984, 0.0000], [0.0000, 0.0000, 3.4397]], "species": ["Si", "Rh", "N", "N", "F"], "fractional_positions": [[0.0000, 0.0000, 0.0000], [0.5000, 0.5000, 0.5000], [0.0000, 0.5000, 0.0000], [0.5000, 0.0000, 0.0000], [0.0000, 0.0000, 0.5000]]}